Mn2GeO5 | PBE+U | relaxed

Results
Magnetization in μB/f.u.: 8.00
VASP energy in eV/atom: -6.9815
ΔE to the lowest computed polymorph in meV per atom: 101

abc: 5.146 5.146 5.590
angles: 124.12 103.50 97.91
Positions (direct):
Mn  0.077  0.670  0.275
Mn  0.606  0.199  0.275
Ge  0.995  0.973  0.968
O  0.753  0.193  0.946
O  0.299  0.366  0.214
O  0.847  0.915  0.214
O  0.281  0.818  0.099
O  0.919  0.645  0.563



LiCoPO4 | PBE+U | relaxed

Results
Magnetization in μB/f.u.: 3.00
VASP energy in eV/atom: -6.6424
ΔE to the lowest computed polymorph in meV per atom: 4

abc: 5.080 10.131 13.591
angles: 90.00 90.00 90.00
Positions (direct):
Li  0.922  0.032  0.496
Li  0.550  0.218  0.251
Li  0.550  0.282  0.751
Li  0.922  0.468  0.996
Li  0.078  0.532  0.496
Li  0.450  0.718  0.251
Li  0.450  0.782  0.751
Li  0.078  0.968  0.996
Co  0.064  0.034  0.247
Co  0.548  0.216  0.000
Co  0.548  0.284  0.500
Co  0.064  0.466  0.747
Co  0.936  0.534  0.247
Co  0.452  0.716  0.000
Co  0.452  0.784  0.500
Co  0.936  0.966  0.747
P  0.432  0.033  0.624
P  0.047  0.218  0.872
P  0.047  0.282  0.372
P  0.432  0.467  0.124
P  0.568  0.533  0.624
P  0.953  0.718  0.872
P  0.953  0.782  0.372
P  0.568  0.967  0.124
O  0.870  0.994  0.123
O  0.554  0.971  0.529
O  0.448  0.032  0.217
O  0.995  0.067  0.869
O  0.491  0.183  0.625
O  0.911  0.225  0.466
O  0.934  0.284  0.778
O  0.346  0.249  0.877
O  0.346  0.251  0.377
O  0.934  0.216  0.278
O  0.911  0.275  0.966
O  0.491  0.317  0.125
O  0.995  0.433  0.369
O  0.448  0.468  0.717
O  0.554  0.529  0.029
O  0.870  0.506  0.623
O  0.130  0.494  0.123
O  0.446  0.471  0.529
O  0.552  0.532  0.217
O  0.005  0.567  0.869
O  0.509  0.683  0.625
O  0.089  0.725  0.466
O  0.066  0.784  0.778
O  0.654  0.749  0.877
O  0.654  0.751  0.377
O  0.066  0.716  0.278
O  0.089  0.775  0.966
O  0.509  0.817  0.125
O  0.005  0.933  0.369
O  0.552  0.968  0.717
O  0.446  0.029  0.029
O  0.130  0.006  0.623